#a
Material: TbSmPt2
Method: DFT, PBE-GGA
State: optimized geometry

Summary:
ρ, g cm⁻³: 11.6

abc: 4.0769 4.0769 7.3308
angles: 73.86 73.86 60.00
With the nearest neighbours (Å) after each atom.
Positions (direct):
Sm 0.6698 0.6698 0.9907  6 Pt 2.93-3.01
Tb 0.4973 0.4973 0.5082  6 Pt 2.85-2.91
Pt 0.0867 0.0867 0.7399  3 Tb 2.85, 3 Sm 2.93
Pt 0.2463 0.2463 0.2612  3 Tb 2.91, 3 Sm 3.01

---

#b
Material: TbSmPt2
Method: DFT, PBE-GGA
State: optimized geometry

Summary:
ρ, g cm⁻³: 13.1

abc: 3.4903 5.0379 5.0379
angles: 90.00 90.00 90.00
With the nearest neighbours (Å) after each atom.
Positions (direct):
Pt 0.0000 0.0000 0.5000  4 Tb 3.06, 4 Sm 3.06
Pt 0.0000 0.5000 0.0000  4 Tb 3.06, 4 Sm 3.06
Sm 0.5000 0.0000 0.0000  8 Pt 3.06
Tb 0.5000 0.5000 0.5000  8 Pt 3.06

---

#c
Material: TbSmPt2
Method: DFT, PBE-GGA
State: optimized geometry

Summary:
ρ, g cm⁻³: 12.6

abc: 3.8368 4.5029 5.6778
angles: 90.00 109.75 90.00
With the nearest neighbours (Å) after each atom.
Positions (direct):
Sm 0.7209 0.0000 0.9811  7 Pt 2.92-3.09
Pt 0.9945 0.0000 0.5276  3 Sm 2.92-3.09, 2 Pt 2.93, 4 Tb 3.00
Pt 0.1698 0.5000 0.8791  2 Pt 2.93, 3 Tb 2.94-3.07, 4 Sm 3.01
Tb 0.4457 0.5000 0.4302  7 Pt 2.94-3.07

---

#d
Material: TbSmPt2
Method: DFT, PBE-GGA
State: optimized geometry

Summary:
ρ, g cm⁻³: 11.8

abc: 4.1094 4.1094 7.1532
angles: 73.31 73.31 60.00
With the nearest neighbours (Å) after each atom.
Positions (direct):
Sm 0.5000 0.5000 0.5000  6 Pt 2.94
Pt 0.7479 0.7479 0.7564  3 Tb 2.89, 3 Sm 2.94
Pt 0.2521 0.2521 0.2436  3 Tb 2.89, 3 Sm 2.94
Tb 0.0000 0.0000 0.0000  6 Pt 2.89

---

Most stable of them? #c.

---

#a
Material: Tb2SmPt
Method: DFT, PBE-GGA
State: optimized geometry

Summary:
ρ, g cm⁻³: 9.0

abc: 3.9641 3.9641 9.3185
angles: 77.72 77.72 60.00
With the nearest neighbours (Å) after each atom.
Positions (direct):
Tb 0.0598 0.0598 0.8205  3 Pt 2.82
Tb 0.2728 0.2728 0.1817  3 Pt 2.80
Pt 0.6657 0.6657 0.0030  6 Tb 2.80-2.82
Sm 0.5017 0.5017 0.4948  6 Tb 3.64-3.73, 6 Sm 3.96

---

#b
Material: Tb2SmPt
Method: DFT, PBE-GGA
State: optimized geometry

Summary:
ρ, g cm⁻³: 10.0

abc: 3.5878 3.5878 8.5780
angles: 90.00 90.00 90.00
With the nearest neighbours (Å) after each atom.
Positions (direct):
Sm 0.5000 0.5000 0.5000  4 Sm 3.59, 8 Tb 3.66
Tb 0.0000 0.0000 0.8083  4 Pt 3.02, 1 Tb 3.29
Tb 0.0000 0.0000 0.1917  4 Pt 3.02, 1 Tb 3.29
Pt 0.5000 0.5000 0.0000  8 Tb 3.02

---

Most stable of them? #b.

---

#a
Material: Tb2SmPt
Method: DFT, PBE-GGA
State: optimized geometry

Summary:
ρ, g cm⁻³: 9.1

abc: 3.8274 3.8274 9.8117
angles: 78.75 78.75 60.00
With the nearest neighbours (Å) after each atom.
Positions (direct):
Pt 0.0000 0.0000 0.0000  6 Tb 2.83
Tb 0.7281 0.7281 0.8157  3 Pt 2.83
Tb 0.2719 0.2719 0.1843  3 Pt 2.83
Sm 0.5000 0.5000 0.5000  6 Tb 3.74, 6 Sm 3.83

---

#b
Material: Tb2SmPt
Method: DFT, PBE-GGA
State: optimized geometry

Summary:
ρ, g cm⁻³: 9.7

abc: 6.5593 7.1256 9.6851
angles: 90.00 90.00 90.00
With the nearest neighbours (Å) after each atom.
Positions (direct):
Tb 0.3255 0.1787 0.0616  2 Pt 2.87-2.91
Tb 0.6745 0.8213 0.9384  2 Pt 2.87-2.91
Tb 0.8255 0.3213 0.9384  2 Pt 2.87-2.91
Tb 0.1745 0.6787 0.4384  2 Pt 2.87-2.91
Tb 0.1745 0.6787 0.0616  2 Pt 2.87-2.91
Tb 0.8255 0.3213 0.5616  2 Pt 2.87-2.91
Tb 0.3255 0.1787 0.4384  2 Pt 2.87-2.91
Tb 0.6745 0.8213 0.5616  2 Pt 2.87-2.91
Pt 0.5626 0.1142 0.7500  4 Tb 2.87-2.91, 2 Sm 2.88-2.98
Pt 0.9374 0.6142 0.7500  4 Tb 2.87-2.91, 2 Sm 2.88-2.98
Pt 0.0626 0.3858 0.2500  4 Tb 2.87-2.91, 2 Sm 2.88-2.98
Pt 0.4374 0.8858 0.2500  4 Tb 2.87-2.91, 2 Sm 2.88-2.98
Sm 0.3659 0.4751 0.7500  2 Pt 2.88-2.98
Sm 0.8659 0.0249 0.2500  2 Pt 2.88-2.98
Sm 0.1341 0.9751 0.7500  2 Pt 2.88-2.98
Sm 0.6341 0.5249 0.2500  2 Pt 2.88-2.98

---

#c
Material: Tb2SmPt
Method: DFT, PBE-GGA
State: optimized geometry

Summary:
ρ, g cm⁻³: 9.9

abc: 3.8369 6.4435 9.4363
angles: 90.00 90.00 107.34
With the nearest neighbours (Å) after each atom.
Positions (direct):
Tb 0.6379 0.2750 0.0632  2 Pt 2.88
Tb 0.3621 0.7250 0.5632  2 Pt 2.88
Tb 0.6379 0.2750 0.4368  2 Pt 2.88
Tb 0.3621 0.7250 0.9368  2 Pt 2.88
Sm 0.0685 0.1366 0.7500  2 Pt 3.07
Sm 0.9315 0.8634 0.2500  2 Pt 3.07
Pt 0.2369 0.4734 0.2500  4 Tb 2.88, 2 Sm 3.07
Pt 0.7631 0.5266 0.7500  4 Tb 2.88, 2 Sm 3.07

---

Most stable of them? #b.

---

#a
Material: Tb3SmPt2
Method: DFT, PBE-GGA
State: optimized geometry

Summary:
ρ, g cm⁻³: 11.0

abc: 4.8067 7.2207 8.8831
angles: 90.00 90.00 90.00
With the nearest neighbours (Å) after each atom.
Positions (direct):
Tb 0.0000 0.4915 0.9186  3 Pt 2.85-3.09
Tb 0.0000 0.8564 0.6697  4 Pt 2.89-3.03
Tb 0.5000 0.1442 0.8338  4 Pt 2.89-2.96
Tb 0.0000 0.9915 0.0814  3 Pt 2.85-3.09
Tb 0.5000 0.6442 0.1662  4 Pt 2.89-2.96
Tb 0.0000 0.3564 0.3303  4 Pt 2.89-3.03
Sm 0.5000 0.0084 0.4184  3 Pt 2.88-3.10
Sm 0.5000 0.5084 0.5816  3 Pt 2.88-3.10
Pt 0.5000 0.7435 0.8432  1 Sm 2.88, 6 Tb 2.89-3.09
Pt 0.5000 0.2435 0.1568  1 Sm 2.88, 6 Tb 2.89-3.09
Pt 0.0000 0.7560 0.3387  5 Tb 2.85-3.03, 2 Sm 3.10
Pt 0.0000 0.2560 0.6613  5 Tb 2.85-3.03, 2 Sm 3.10

---

#b
Material: Tb3SmPt2
Method: DFT, PBE-GGA
State: optimized geometry

Summary:
ρ, g cm⁻³: 9.8

abc: 4.5395 8.3754 10.5806
angles: 63.47 77.61 74.28
With the nearest neighbours (Å) after each atom.
Positions (direct):
Sm 0.5590 0.5853 0.2967  3 Pt 2.95-2.98
Sm 0.4410 0.4147 0.7033  3 Pt 2.95-2.98
Pt 0.1204 0.6658 0.0934  5 Tb 2.85-3.09, 2 Sm 2.98
Pt 0.6335 0.0809 0.6521  5 Tb 2.84-2.88, 1 Sm 2.95
Pt 0.8796 0.3342 0.9066  5 Tb 2.85-3.09, 2 Sm 2.98
Pt 0.3665 0.9191 0.3479  5 Tb 2.84-2.88, 1 Sm 2.95
Tb 0.1743 0.1876 0.4637  3 Pt 2.87-2.88
Tb 0.7014 0.6834 0.9139  3 Pt 2.85-2.90
Tb 0.8257 0.8124 0.5363  3 Pt 2.87-2.88
Tb 0.2986 0.3166 0.0861  3 Pt 2.85-2.90
Tb 0.0686 0.0331 0.8296  4 Pt 2.84-3.09
Tb 0.9314 0.9669 0.1704  4 Pt 2.84-3.09

---

Most stable of them? #a.

---

#a
Material: Tb2SmPt2
Method: DFT, PBE-GGA
State: optimized geometry

Summary:
ρ, g cm⁻³: 11.1

abc: 3.9142 7.5895 8.8844
angles: 90.00 102.73 90.00
With the nearest neighbours (Å) after each atom.
Positions (direct):
Tb 0.9688 0.7448 0.9377  5 Pt 2.89-3.00
Tb 0.1859 0.5282 0.3718  5 Pt 2.91-3.05
Tb 0.8141 0.0282 0.6282  5 Pt 2.91-3.05
Tb 0.0312 0.2448 0.0623  5 Pt 2.89-3.00
Sm 0.6277 0.9103 0.2554  4 Pt 2.92-3.24
Sm 0.3723 0.4103 0.7446  4 Pt 2.92-3.24
Pt 0.8013 0.6456 0.6026  4 Tb 2.91-3.00, 2 Sm 2.92
Pt 0.4492 0.0367 0.8983  6 Tb 2.89-3.05, 1 Sm 3.13
Pt 0.5508 0.5367 0.1017  6 Tb 2.89-3.05, 1 Sm 3.13
Pt 0.1987 0.1456 0.3974  4 Tb 2.91-3.00, 2 Sm 2.92

---

#b
Material: Tb2SmPt2
Method: DFT, PBE-GGA
State: optimized geometry

Summary:
ρ, g cm⁻³: 11.7

abc: 3.9565 7.8468 7.8468
angles: 90.00 90.00 90.00
With the nearest neighbours (Å) after each atom.
Positions (direct):
Pt 0.5000 0.3635 0.3635  6 Tb 3.00-3.06, 1 Pt 3.03, 2 Sm 3.05
Pt 0.5000 0.6365 0.6365  6 Tb 3.00-3.06, 1 Pt 3.03, 2 Sm 3.05
Pt 0.5000 0.8635 0.1365  6 Tb 3.00-3.06, 1 Pt 3.03, 2 Sm 3.05
Pt 0.5000 0.1365 0.8635  6 Tb 3.00-3.06, 1 Pt 3.03, 2 Sm 3.05
Tb 0.0000 0.6607 0.3393  6 Pt 3.00-3.06
Tb 0.0000 0.8393 0.8393  6 Pt 3.00-3.06
Tb 0.0000 0.3393 0.6607  6 Pt 3.00-3.06
Tb 0.0000 0.1607 0.1607  6 Pt 3.00-3.06
Sm 0.5000 0.5000 0.0000  4 Pt 3.05
Sm 0.5000 0.0000 0.5000  4 Pt 3.05

---

Most stable of them? #b.

---

#a
Material: TbSmZnPt
Method: DFT, PBE-GGA
State: optimized geometry

Summary:
ρ, g cm⁻³: 10.0

abc: 3.8835 4.4866 5.7603
angles: 90.00 109.70 90.00
With the nearest neighbours (Å) after each atom.
Positions (direct):
Tb 0.8602 0.5000 0.7204  3 Zn 3.03-3.10, 4 Pt 3.05
Zn 0.5743 0.5000 0.1487  2 Pt 2.77, 2 Tb 3.03, 4 Sm 3.05
Sm 0.1405 0.0000 0.2811  3 Pt 3.04-3.08, 4 Zn 3.05
Pt 0.4249 0.0000 0.8498  2 Zn 2.77, 3 Sm 3.04-3.08, 4 Tb 3.05

---

#b
Material: TbSmZnPt
Method: DFT, PBE-GGA
State: optimized geometry

Summary:
ρ, g cm⁻³: 10.4

abc: 5.0489 5.0489 5.0489
angles: 60.00 60.00 60.00
With the nearest neighbours (Å) after each atom.
Positions (direct):
Zn 0.5000 0.5000 0.5000  4 Sm 3.09, 4 Tb 3.09
Tb 0.2500 0.2500 0.2500  4 Zn 3.09, 4 Pt 3.09
Sm 0.7500 0.7500 0.7500  4 Pt 3.09, 4 Zn 3.09
Pt 0.0000 0.0000 0.0000  4 Tb 3.09, 4 Sm 3.09

---

Most stable of them? #a.

---

#a
Material: Sm2TePt
Method: DFT, PBE-GGA
State: optimized geometry

Summary:
ρ, g cm⁻³: 8.9

abc: 4.2482 4.2482 7.8547
angles: 74.31 74.31 60.00
With the nearest neighbours (Å) after each atom.
Positions (direct):
Sm 0.0699 0.0699 0.7903  3 Pt 2.91
Sm 0.2637 0.2637 0.2089  3 Pt 2.90
Pt 0.6665 0.6665 0.0004  6 Sm 2.90-2.91
Te 0.4999 0.4999 0.5004  6 Sm 3.27-3.28

---

#b
Material: Sm2TePt
Method: DFT, PBE-GGA
State: optimized geometry

Summary:
ρ, g cm⁻³: 9.0

abc: 4.2212 4.2212 7.8660
angles: 89.94 105.61 120.03
With the nearest neighbours (Å) after each atom.
Positions (direct):
Sm 0.4757 0.7379 0.2136  3 Pt 2.91, 3 Te 3.24
Sm 0.5243 0.2621 0.7864  3 Pt 2.91, 3 Te 3.24
Te 0.0000 0.5000 0.5000  6 Sm 3.24
Pt 0.0000 0.0000 0.0000  6 Sm 2.91

---

Most stable of them? #b.

---

#a
Material: Sm4Te3Pt
Method: DFT, PBE-GGA
State: optimized geometry

Summary:
ρ, g cm⁻³: 6.7

abc: 6.1979 9.2863 10.1999
angles: 90.00 90.00 90.00
With the nearest neighbours (Å) after each atom.
Positions (direct):
Te 0.0644 0.6508 0.7475  5 Sm 3.13-3.18
Te 0.0644 0.6508 0.2525  5 Sm 3.13-3.18
Te 0.5644 0.3492 0.7525  5 Sm 3.13-3.18
Te 0.5643 0.8117 0.0000  5 Sm 3.07-3.11
Te 0.5644 0.3492 0.2475  5 Sm 3.13-3.18
Te 0.0643 0.1883 0.5000  5 Sm 3.07-3.11
Pt 0.5645 0.8577 0.5000  3 Sm 2.74-2.76
Pt 0.0645 0.1423 0.0000  3 Sm 2.74-2.76
Sm 0.0643 0.8455 0.0000  1 Pt 2.76
Sm 0.5643 0.1545 0.5000  1 Pt 2.76
Sm 0.0644 0.3107 0.7799  1 Pt 2.74
Sm 0.0645 0.8543 0.5000  2 Pt 3.10, 3 Te 3.10-3.15
Sm 0.5644 0.6893 0.7201  1 Pt 2.74
Sm 0.5644 0.6893 0.2799  1 Pt 2.74
Sm 0.0644 0.3107 0.2201  1 Pt 2.74
Sm 0.5645 0.1457 0.0000  2 Pt 3.10, 3 Te 3.10-3.15

---

#b
Material: Sm4Te3Pt
Method: DFT, PBE-GGA
State: optimized geometry

Summary:
ρ, g cm⁻³: 8.1

abc: 4.2875 7.7129 7.7129
angles: 108.57 90.00 90.00
With the nearest neighbours (Å) after each atom.
Positions (direct):
Sm 0.0000 0.7841 0.7841  2 Pt 2.89, 2 Te 3.15
Sm 0.0000 0.2159 0.2159  2 Pt 2.89, 2 Te 3.15
Sm 0.5000 0.7609 0.2391  1 Pt 3.00, 5 Te 3.11-3.27
Sm 0.5000 0.2391 0.7609  1 Pt 3.00, 5 Te 3.11-3.27
Pt 0.5000 0.0000 0.0000  6 Sm 2.89-3.00
Te 0.5000 0.5000 0.5000  6 Sm 3.27-3.34
Te 0.0000 0.5000 0.0000  6 Sm 3.11-3.15
Te 0.0000 0.0000 0.5000  6 Sm 3.11-3.15

---

Most stable of them? #b.

---

#a
Material: SmThPt2
Method: DFT, PBE-GGA
State: optimized geometry

Summary:
ρ, g cm⁻³: 12.4

abc: 4.1086 4.1086 7.4875
angles: 74.08 74.08 60.00
With the nearest neighbours (Å) after each atom.
Positions (direct):
Th 0.6689 0.6689 0.9933  6 Pt 2.92-2.97
Pt 0.0823 0.0823 0.7532  3 Th 2.92, 3 Sm 2.94
Pt 0.2518 0.2518 0.2446  3 Th 2.97, 3 Sm 3.02
Sm 0.4970 0.4970 0.5089  6 Pt 2.94-3.02

---

#b
Material: SmThPt2
Method: DFT, PBE-GGA
State: optimized geometry

Summary:
ρ, g cm⁻³: 13.3

abc: 3.8616 4.5052 5.8605
angles: 90.00 109.21 90.00
With the nearest neighbours (Å) after each atom.
Positions (direct):
Sm 0.4449 0.5000 0.4269  7 Pt 2.95-3.23
Pt 0.9920 0.0000 0.5214  4 Sm 3.01, 3 Th 3.02-3.17, 2 Pt 3.06
Pt 0.1769 0.5000 0.8943  3 Sm 2.95-3.23, 4 Th 3.00, 2 Pt 3.06
Th 0.7172 0.0000 0.9754  7 Pt 3.00-3.17

---

#c
Material: SmThPt2
Method: DFT, PBE-GGA
State: optimized geometry

Summary:
ρ, g cm⁻³: 13.8

abc: 3.6021 5.0881 5.0881
angles: 90.00 90.00 90.00
With the nearest neighbours (Å) after each atom.
Positions (direct):
Th 0.5000 0.5000 0.5000  8 Pt 3.12
Pt 0.0000 0.5000 0.0000  4 Th 3.12, 4 Sm 3.12
Pt 0.0000 0.0000 0.5000  4 Th 3.12, 4 Sm 3.12
Sm 0.5000 0.0000 0.0000  8 Pt 3.12

---

Most stable of them? #b.

---

#a
Material: SmThPt2
Method: DFT, PBE-GGA
State: optimized geometry

Summary:
ρ, g cm⁻³: 12.5

abc: 4.1595 4.1595 7.2825
angles: 89.99 106.60 120.01
With the nearest neighbours (Å) after each atom.
Positions (direct):
Pt 0.5038 0.2519 0.7557  3 Th 2.93, 3 Sm 2.98
Pt 0.4962 0.7481 0.2443  3 Th 2.93, 3 Sm 2.98
Th 0.0000 0.0000 0.0000  6 Pt 2.93
Sm 0.0000 0.5000 0.5000  6 Pt 2.98

---

#b
Material: SmThPt2
Method: DFT, PBE-GGA
State: optimized geometry

Summary:
ρ, g cm⁻³: 13.8

abc: 5.0882 5.0882 5.0882
angles: 60.00 60.00 60.00
With the nearest neighbours (Å) after each atom.
Positions (direct):
Pt 0.2500 0.2500 0.2500  4 Sm 3.12, 4 Th 3.12
Pt 0.7500 0.7500 0.7500  4 Sm 3.12, 4 Th 3.12
Th 0.0000 0.0000 0.0000  8 Pt 3.12
Sm 0.5000 0.5000 0.5000  8 Pt 3.12

---

Most stable of them? #a.

---

#a
Material: SmThPt
Method: DFT, PBE-GGA
State: optimized geometry

Summary:
ρ, g cm⁻³: 10.6

abc: 5.9454 7.1203 8.5253
angles: 93.09 90.00 90.00
With the nearest neighbours (Å) after each atom.
Positions (direct):
Th 0.6411 0.8117 0.6274  3 Pt 2.82-3.05
Th 0.1411 0.6883 0.8726  3 Pt 2.82-3.05
Th 0.8589 0.3117 0.1274  3 Pt 2.82-3.05
Th 0.3589 0.1883 0.3726  3 Pt 2.82-3.05
Sm 0.8565 0.3274 0.6262  4 Pt 2.94-3.12
Sm 0.1435 0.6726 0.3738  4 Pt 2.94-3.12
Sm 0.3565 0.1726 0.8738  4 Pt 2.94-3.12
Sm 0.6435 0.8274 0.1262  4 Pt 2.94-3.12
Pt 0.1454 0.9579 0.1375  3 Th 2.82-3.05, 4 Sm 2.94-3.12, 1 Pt 3.00
Pt 0.6454 0.5421 0.3625  3 Th 2.82-3.05, 4 Sm 2.94-3.12, 1 Pt 3.00
Pt 0.3546 0.4579 0.6375  3 Th 2.82-3.05, 4 Sm 2.94-3.12, 1 Pt 3.00
Pt 0.8546 0.0421 0.8625  3 Th 2.82-3.05, 4 Sm 2.94-3.12, 1 Pt 3.00

---

#b
Material: SmThPt
Method: DFT, PBE-GGA
State: optimized geometry

Summary:
ρ, g cm⁻³: 12.0

abc: 4.0441 4.7843 4.7843
angles: 120.00 90.00 90.00
With the nearest neighbours (Å) after each atom.
Positions (direct):
Th 0.0549 0.0000 0.0000  3 Pt 2.98, 3 Sm 3.29
Pt 0.3307 0.3333 0.6667  3 Th 2.98, 3 Sm 2.99
Sm 0.6145 0.6667 0.3333  3 Pt 2.99, 3 Th 3.29

---

Most stable of them? #a.